Below is an optimized crystal structure of MgVP2O8, with properties calculated at the PBE+U level.

Values from the calculation:
- DFT total energy (eV/atom) = -7.16

CIF file:
```
data_MgVP2O8
_chemical_formula_sum 'Mg2 V2 P4 O16'
_cell_length_a 6.4861
_cell_length_b 6.4861
_cell_length_c 5.7079
_cell_angle_alpha 90.00
_cell_angle_beta 90.00
_cell_angle_gamma 90.00
_space_group_name_H-M_alt 'I -4 m 2'
_space_group_IT_number 119
_space_group_name_Hall 'I -4 -2'
loop_
_atom_site_label
_atom_site_type_symbol
_atom_site_fract_x
_atom_site_fract_y
_atom_site_fract_z
Mg1 Mg 0.0000 0.0000 0.0000
V1 V 0.0000 0.5000 0.7500
P1 P 0.0000 0.0000 0.5000
P2 P 0.0000 0.5000 0.2500
O1 O 0.0000 0.1859 0.6705
O2 O 0.0000 0.3218 0.0691
```